# 1
# YCuO3, optimized geometry, DFT PBE-GGA
# Electronic total energy ... -7.100 eV/atom
data_YCuO3
_chemical_formula_sum 'Y4 Cu4 O12'
_symmetry_space_group_name_H-M 'P n m a'
_symmetry_Int_Tables_number 62
_symmetry_space_group_name_Hall '-P 2ac 2n'
_cell_length_a 6.3296
_cell_length_b 6.9999
_cell_length_c 5.2689
_cell_angle_alpha 90.00
_cell_angle_beta 90.00
_cell_angle_gamma 90.00
loop_
_atom_site_label
_atom_site_type_symbol
_atom_site_fract_x
_atom_site_fract_y
_atom_site_fract_z
_atom_site_occupancy
Y1 Y 0.1049 0.2500 0.0241 1
Cu1 Cu 0.0000 0.0000 0.5000 1
O1 O 0.0490 0.7500 0.3761 1
O2 O 0.1537 0.5503 0.7935 1


# 2
# YCuO2, optimized geometry, DFT PBE-GGA
# Electronic total energy ... -7.145 eV/atom
data_YCuO2
_chemical_formula_sum 'Y4 Cu4 O8'
_symmetry_space_group_name_H-M 'I -4 2 d'
_symmetry_Int_Tables_number 122
_symmetry_space_group_name_Hall 'I -4 2bw'
_cell_length_a 4.6021
_cell_length_b 4.6021
_cell_length_c 11.1275
_cell_angle_alpha 90.00
_cell_angle_beta 90.00
_cell_angle_gamma 90.00
loop_
_atom_site_label
_atom_site_type_symbol
_atom_site_fract_x
_atom_site_fract_y
_atom_site_fract_z
_atom_site_occupancy
Y1 Y 0.0000 0.0000 0.0000 1
Cu1 Cu 0.0000 0.0000 0.5000 1
O1 O 0.2357 0.2500 0.6250 1


# 3
# YCuO3, optimized geometry, DFT PBE-GGA
# Electronic total energy ... -6.876 eV/atom
data_YCuO3
_chemical_formula_sum 'Y1 Cu1 O3'
_symmetry_space_group_name_H-M 'P m -3 m'
_symmetry_Int_Tables_number 221
_symmetry_space_group_name_Hall '-P 4 2 3'
_cell_length_a 3.7489
_cell_length_b 3.7489
_cell_length_c 3.7489
_cell_angle_alpha 90.00
_cell_angle_beta 90.00
_cell_angle_gamma 90.00
loop_
_atom_site_label
_atom_site_type_symbol
_atom_site_fract_x
_atom_site_fract_y
_atom_site_fract_z
_atom_site_occupancy
Y1 Y 0.0000 0.0000 0.0000 1
Cu1 Cu 0.5000 0.5000 0.5000 1
O1 O 0.0000 0.5000 0.5000 1


# 4
# Y2CuO4, optimized geometry, DFT PBE-GGA
# Energy relative to the lowest polymorph listed for this composition ... 12 meV/atom
data_Y2CuO4
_chemical_formula_sum 'Y4 Cu2 O8'
_symmetry_space_group_name_H-M 'I 4/m m m'
_symmetry_Int_Tables_number 139
_symmetry_space_group_name_Hall '-I 4 2'
_cell_length_a 3.8822
_cell_length_b 3.8822
_cell_length_c 11.7717
_cell_angle_alpha 90.00
_cell_angle_beta 90.00
_cell_angle_gamma 90.00
loop_
_atom_site_label
_atom_site_type_symbol
_atom_site_fract_x
_atom_site_fract_y
_atom_site_fract_z
_atom_site_occupancy
Y1 Y 0.0000 0.0000 0.1519 1
Cu1 Cu 0.0000 0.0000 0.5000 1
O1 O 0.0000 0.5000 0.0000 1
O2 O 0.0000 0.5000 0.2500 1


# 5
# ZnCu2O4, optimized geometry, DFT PBE-GGA
# Energy relative to the lowest polymorph listed for this composition ... 13 meV/atom
data_ZnCu2O4
_chemical_formula_sum 'Zn4 Cu8 O16'
_symmetry_space_group_name_H-M 'P -1'
_symmetry_Int_Tables_number 2
_symmetry_space_group_name_Hall '-P 1'
_cell_length_a 3.2245
_cell_length_b 9.2438
_cell_length_c 10.0697
_cell_angle_alpha 89.87
_cell_angle_beta 86.14
_cell_angle_gamma 82.92
loop_
_atom_site_label
_atom_site_type_symbol
_atom_site_fract_x
_atom_site_fract_y
_atom_site_fract_z
_atom_site_occupancy
Zn1 Zn 0.0951 0.2347 0.1586 1
Zn2 Zn 0.1729 0.7715 0.3320 1
Cu1 Cu 0.2467 0.4292 0.8901 1
Cu2 Cu 0.3304 0.0677 0.8876 1
Cu3 Cu 0.3684 0.9279 0.6151 1
Cu4 Cu 0.4694 0.4336 0.3790 1
O1 O 0.0146 0.0006 0.7576 1
O2 O 0.1418 0.6150 0.9716 1
O3 O 0.3024 0.2465 0.8013 1
O4 O 0.3195 0.5134 0.2223 1
O5 O 0.3227 0.6138 0.4586 1
O6 O 0.3382 0.1172 0.5483 1
O7 O 0.4198 0.8811 0.9603 1
O8 O 0.4299 0.7491 0.7058 1


# 6
# Zn2CuO, optimized geometry, DFT PBE-GGA
# Electronic total energy ... -3.252 eV/atom
data_Zn2CuO
_chemical_formula_sum 'Zn8 Cu4 O4'
_symmetry_space_group_name_H-M 'I -4 2 d'
_symmetry_Int_Tables_number 122
_symmetry_space_group_name_Hall 'I -4 2bw'
_cell_length_a 5.9580
_cell_length_b 5.9580
_cell_length_c 6.1249
_cell_angle_alpha 90.00
_cell_angle_beta 90.00
_cell_angle_gamma 90.00
loop_
_atom_site_label
_atom_site_type_symbol
_atom_site_fract_x
_atom_site_fract_y
_atom_site_fract_z
_atom_site_occupancy
Zn1 Zn 0.1866 0.7500 0.1250 1
Cu1 Cu 0.0000 0.0000 0.5000 1
O1 O 0.0000 0.0000 0.0000 1


# 7
# ZnCu3O, optimized geometry, DFT PBE-GGA
# Energy relative to the lowest polymorph listed for this composition ... 1082 meV/atom
data_ZnCu3O
_chemical_formula_sum 'Zn1 Cu3 O1'
_symmetry_space_group_name_H-M 'P m -3 m'
_symmetry_Int_Tables_number 221
_symmetry_space_group_name_Hall '-P 4 2 3'
_cell_length_a 4.3986
_cell_length_b 4.3986
_cell_length_c 4.3986
_cell_angle_alpha 90.00
_cell_angle_beta 90.00
_cell_angle_gamma 90.00
loop_
_atom_site_label
_atom_site_type_symbol
_atom_site_fract_x
_atom_site_fract_y
_atom_site_fract_z
_atom_site_occupancy
Zn1 Zn 0.0000 0.0000 0.0000 1
Cu1 Cu 0.0000 0.0000 0.5000 1
O1 O 0.5000 0.5000 0.5000 1


# 8
# ZnCu3O, optimized geometry, DFT PBE-GGA
# Energy relative to the lowest polymorph listed for this composition ... 0 meV/atom
data_ZnCu3O
_chemical_formula_sum 'Zn1 Cu3 O1'
_symmetry_space_group_name_H-M 'P m -3 m'
_symmetry_Int_Tables_number 221
_symmetry_space_group_name_Hall '-P 4 2 3'
_cell_length_a 4.0155
_cell_length_b 4.0155
_cell_length_c 4.0155
_cell_angle_alpha 90.00
_cell_angle_beta 90.00
_cell_angle_gamma 90.00
loop_
_atom_site_label
_atom_site_type_symbol
_atom_site_fract_x
_atom_site_fract_y
_atom_site_fract_z
_atom_site_occupancy
Zn1 Zn 0.0000 0.0000 0.0000 1
Cu1 Cu 0.0000 0.5000 0.5000 1
O1 O 0.5000 0.5000 0.5000 1


# 9
# ZnCuO3, optimized geometry, DFT PBE-GGA
# Electronic total energy ... -3.820 eV/atom
data_ZnCuO3
_chemical_formula_sum 'Zn1 Cu1 O3'
_symmetry_space_group_name_H-M 'P m -3 m'
_symmetry_Int_Tables_number 221
_symmetry_space_group_name_Hall '-P 4 2 3'
_cell_length_a 3.7697
_cell_length_b 3.7697
_cell_length_c 3.7697
_cell_angle_alpha 90.00
_cell_angle_beta 90.00
_cell_angle_gamma 90.00
loop_
_atom_site_label
_atom_site_type_symbol
_atom_site_fract_x
_atom_site_fract_y
_atom_site_fract_z
_atom_site_occupancy
Zn1 Zn 0.0000 0.0000 0.0000 1
Cu1 Cu 0.5000 0.5000 0.5000 1
O1 O 0.0000 0.0000 0.5000 1


It is found that the D(E_F) values, taken in the order of the records, are 0.00; 0.00; 0.21; 0.14; 0.08; 0.24; 0.47; 0.48; 2.70 states/eV/atom.